# 1
! GdZrMn4 PBE optimized geometry; values from VASP
&SYSTEM
  ibrav = 0, nat = 6, ntyp = 3
/
ATOMIC_SPECIES
Gd 157.25 Gd.upf
Zr 91.22 Zr.upf
Mn 54.94 Mn.upf
ATOMIC_POSITIONS angstrom
Gd 0.000 0.000 0.000
Zr 1.783 1.783 1.783
Mn 4.453 2.678 2.678
Mn 2.678 4.453 2.678
Mn 2.678 2.678 4.453
Mn 4.453 4.453 4.453
CELL_PARAMETERS angstrom
0.000 3.566 3.566
3.566 0.000 3.566
3.566 3.566 0.000
! **Space-group type**: F-43m, No. 216
! **Formation enthalpy at 0 K**: 60 meV per atom



# 2
! CaTbBr5 PBE optimized geometry; values from VASP
&SYSTEM
  ibrav = 0, nat = 14, ntyp = 3
/
ATOMIC_SPECIES
Ca 40.08 Ca.upf
Tb 158.93 Tb.upf
Br 79.90 Br.upf
ATOMIC_POSITIONS angstrom
Ca 0.597 1.043 1.871
Ca 6.789 3.129 11.945
Tb 3.136 3.129 4.814
Tb 4.250 1.043 9.002
Br 0.342 3.129 4.320
Br 0.035 1.043 12.800
Br 2.207 1.043 6.658
Br 2.807 3.129 1.931
Br 2.483 3.129 9.707
Br 4.903 1.043 4.109
Br 4.578 1.043 11.885
Br 5.179 3.129 7.158
Br 7.351 3.129 1.016
Br 7.044 1.043 9.496
CELL_PARAMETERS angstrom
8.608 0.000 0.000
0.000 4.172 0.000
-1.222 0.000 13.816
! **Space-group type**: P2_1/m, No. 11
! **Formation energy without anion corrections**: -1891 meV/atom



# 3
! RbLaOsRh2 PBE optimized geometry; values from VASP
&SYSTEM
  ibrav = 0, nat = 5, ntyp = 4
/
ATOMIC_SPECIES
Rb 85.47 Rb.upf
La 138.91 La.upf
Os 190.23 Os.upf
Rh 102.91 Rh.upf
ATOMIC_POSITIONS angstrom
Rb 0.000 0.000 0.000
La 2.436 2.436 2.502
Os 0.000 0.000 2.502
Rh 0.000 2.436 0.000
Rh 2.436 0.000 0.000
CELL_PARAMETERS angstrom
4.873 0.000 0.000
0.000 4.873 0.000
0.000 0.000 5.005
! **Space-group type**: P4/mmm, No. 123
! **Formation enthalpy at 0 K**: 1892 meV per atom



# 4
! Li2Fe2Ni15 PBE optimized geometry; values from VASP
&SYSTEM
  ibrav = 0, nat = 19, ntyp = 3
/
ATOMIC_SPECIES
Li 6.94 Li.upf
Fe 55.84 Fe.upf
Ni 58.69 Ni.upf
ATOMIC_POSITIONS angstrom
Li 0.000 0.000 1.205
Li 0.000 0.000 10.881
Fe 0.000 0.000 4.682
Fe 0.000 0.000 7.404
Ni -4.047 0.000 6.043
Ni -1.358 -2.321 4.029
Ni -2.023 1.168 2.014
Ni -2.689 -0.016 4.029
Ni -1.980 -1.143 6.045
Ni 1.358 -2.321 4.029
Ni -1.331 2.336 4.029
Ni 0.000 -2.286 6.041
Ni -1.980 1.143 6.041
Ni 2.023 1.168 2.014
Ni 1.980 -1.143 6.045
Ni 0.000 2.286 6.045
Ni 2.689 -0.016 4.029
Ni 1.331 2.336 4.029
Ni 1.980 1.143 6.041
CELL_PARAMETERS angstrom
4.047 2.336 4.029
-4.047 2.336 4.029
0.000 -4.673 4.029
! **Space-group type**: R-3m, No. 166
! **Formation enthalpy at 0 K**: 131 meV per atom



Please write out number 3 again, unchanged.
! RbLaOsRh2 PBE optimized geometry; values from VASP
&SYSTEM
  ibrav = 0, nat = 5, ntyp = 4
/
ATOMIC_SPECIES
Rb 85.47 Rb.upf
La 138.91 La.upf
Os 190.23 Os.upf
Rh 102.91 Rh.upf
ATOMIC_POSITIONS angstrom
Rb 0.000 0.000 0.000
La 2.436 2.436 2.502
Os 0.000 0.000 2.502
Rh 0.000 2.436 0.000
Rh 2.436 0.000 0.000
CELL_PARAMETERS angstrom
4.873 0.000 0.000
0.000 4.873 0.000
0.000 0.000 5.005
! **Space-group type**: P4/mmm, No. 123
! **Formation enthalpy at 0 K**: 1892 meV per atom



What did the second record say?
! CaTbBr5 PBE optimized geometry; values from VASP
&SYSTEM
  ibrav = 0, nat = 14, ntyp = 3
/
ATOMIC_SPECIES
Ca 40.08 Ca.upf
Tb 158.93 Tb.upf
Br 79.90 Br.upf
ATOMIC_POSITIONS angstrom
Ca 0.597 1.043 1.871
Ca 6.789 3.129 11.945
Tb 3.136 3.129 4.814
Tb 4.250 1.043 9.002
Br 0.342 3.129 4.320
Br 0.035 1.043 12.800
Br 2.207 1.043 6.658
Br 2.807 3.129 1.931
Br 2.483 3.129 9.707
Br 4.903 1.043 4.109
Br 4.578 1.043 11.885
Br 5.179 3.129 7.158
Br 7.351 3.129 1.016
Br 7.044 1.043 9.496
CELL_PARAMETERS angstrom
8.608 0.000 0.000
0.000 4.172 0.000
-1.222 0.000 13.816
! **Space-group type**: P2_1/m, No. 11
! **Formation energy without anion corrections**: -1891 meV/atom